! TbY5Er2 (PBE, relaxed); values from VASP
&SYSTEM
  ibrav = 0, nat = 16, ntyp = 3
/
ATOMIC_SPECIES
Y 88.91 Y.upf
Tb 158.93 Tb.upf
Er 167.26 Er.upf
ATOMIC_POSITIONS crystal
Y 0.0593 0.0676 0.1095
Tb 0.7790 0.5430 0.7567
Y 0.9548 0.8750 0.5869
Er 0.2339 0.4430 0.5828
Y 0.3584 0.8079 0.0819
Y 0.4281 0.8059 0.4024
Er 0.7661 0.5570 0.4172
Er 0.2046 0.4305 0.9209
Y 0.6416 0.1921 0.9181
Y 0.0452 0.1250 0.4131
Y 0.5673 0.1801 0.2860
Y 0.9407 0.9324 0.8905
Er 0.7954 0.5695 0.0791
Y 0.4327 0.8199 0.7140
Y 0.5719 0.1941 0.5976
Tb 0.2210 0.4570 0.2433
CELL_PARAMETERS angstrom
-2.4070 -0.3615 8.9879
9.0642 1.5694 -2.1282
-3.3833 6.2990 8.7166
! - calculated total energy (eV/atom) = -5.6140
! - energy above the most stable polymorph in this dataset (eV/atom) = 0.123
! - N(E_F) (states/eV per atom) = 1.6046
! - ΔE_f (meV per atom) = 145.5
! - space group = No. 2
! - ρ (g/cm³) = 5.97
! - crystal system = triclinic